1.
A relaxed Pr6Sm3Ho2Mg crystal, computed with GGA-PBE.

It has space group C2/m (No. 12), with a = 6.310 Å, b = 10.942 Å, c = 11.908 Å, α = 90.00°, β = 100.24° and γ = 90.00°. The inequivalent atoms are Pr at (0.247, 0.166, 0.245), Pr at (0.249, 0.500, 0.247), Sm at (0.000, 0.167, 0.500), Sm at (0.000, 0.500, 0.500), Ho at (0.000, 0.333, 0.000) and Mg at (0.000, 0.000, 0.000).



2.
A relaxed PrSm2Ho2Mg crystal, computed with GGA-PBE.

It has space group Pnnm (No. 58), with a = 5.540 Å, b = 18.951 Å, c = 3.700 Å, α = 90.00°, β = 90.00° and γ = 90.00°. The inequivalent atoms are Pr at (0.000, 0.000, 0.000), Sm at (0.001, 0.187, 0.500), Ho at (0.001, 0.368, 0.500) and Mg at (0.000, 0.500, 0.000).



3.
A relaxed PrSm2HoMg crystal, computed with GGA-PBE.

It has space group P2_1/m (No. 11), with a = 6.225 Å, b = 5.677 Å, c = 9.491 Å, α = 90.00°, β = 108.73° and γ = 90.00°. The inequivalent atoms are Pr at (0.035, 0.250, 0.389), Sm at (0.376, 0.750, 0.392), Sm at (0.452, 0.250, 0.200), Ho at (0.162, 0.750, 0.998) and Mg at (0.228, 0.250, 0.810).



We obtain total magnetization values of 0.00 0.00 0.00 μB per formula unit for the records listed above, in that order.
We obtain DFT formation energy values of 0.025 0.094 0.018 eV per atom for the records listed above, in that order.